Computed, not measured: a geometry-optimized Pm12Ho2Er structure at the PBE-GGA level of DFT.

Calculated values
Its density of states at the Fermi level is 38.34 states/eV per cell. As for the formation energy: 4.879 eV/f.u. The calculated density is 6.900 g/cm3. The value obtained for the raw total energy is -65.85 eV per formula unit.

Unit cell a=6.5114 b=6.5114 c=25.3959 alpha=90.00 beta=90.00 gamma=90.00
Fractional coordinates of all 30 atoms:
Pm (0.0673, 0.5673, 0.1141)
Pm (0.0673, 0.9327, 0.8859)
Pm (0.0821, 0.5821, 0.5623)
Pm (0.0821, 0.9179, 0.4377)
Pm (0.2500, 0.2500, 0.2149)
Pm (0.2500, 0.2500, 0.3369)
Pm (0.2500, 0.2500, 0.6631)
Pm (0.2500, 0.2500, 0.7851)
Pm (0.4179, 0.5821, 0.4377)
Pm (0.4179, 0.9179, 0.5623)
Pm (0.4327, 0.5673, 0.8859)
Pm (0.4327, 0.9327, 0.1141)
Pm (0.5673, 0.0673, 0.8859)
Pm (0.5673, 0.4327, 0.1141)
Pm (0.5821, 0.0821, 0.4377)
Pm (0.5821, 0.4179, 0.5623)
Pm (0.7500, 0.7500, 0.2149)
Pm (0.7500, 0.7500, 0.3369)
Pm (0.7500, 0.7500, 0.6631)
Pm (0.7500, 0.7500, 0.7851)
Pm (0.9179, 0.0821, 0.5623)
Pm (0.9179, 0.4179, 0.4377)
Pm (0.9327, 0.0673, 0.1141)
Pm (0.9327, 0.4327, 0.8859)
Ho (0.2500, 0.7500, 0.2717)
Ho (0.2500, 0.7500, 0.7283)
Ho (0.7500, 0.2500, 0.2717)
Ho (0.7500, 0.2500, 0.7283)
Er (0.2500, 0.7500, 0.0000)
Er (0.7500, 0.2500, 0.0000)